VASP calculation (PBE) on an optimized crystal structure of Sc2GeF.

Cell lengths 6.982, 6.982, 6.982 Å; angles 34.59, 34.59, 34.59 degrees
Sites, in units of the cell vectors:
Sc: 0.104 0.104 0.104
Sc: 0.896 0.896 0.896
Ge: 0.500 0.500 0.500
F: 0.000 0.000 0.000

Space group: No. 166
Formation energy without anion corrections: -1589 meV/atom
Magnetization: 0.00 μB/cell
Excess energy over the best structure of this formula in the dataset: 0.000 eV/atom

VASP calculation (PBE) on an optimized crystal structure of Sc2GeF.

Cell lengths 4.622, 4.622, 4.622 Å; angles 60.00, 60.00, 60.00 degrees
Sites, in units of the cell vectors:
Sc: 0.250 0.250 0.250
Sc: 0.750 0.750 0.750
Ge: 0.000 0.000 0.000
F: 0.500 0.500 0.500

Space group: No. 225
Formation energy without anion corrections: -1281 meV/atom
Magnetization: 0.85 μB/cell
Excess energy over the best structure of this formula in the dataset: 0.308 eV/atom